A relaxed CeAgBi crystal, computed with PBE-GGA.

Unit cell a=4.7708 b=4.7708 c=4.2477 alpha=90.00 beta=90.00 gamma=120.00
Space group P3m1 (No. 156)
One atom of each set of equivalent atoms:
Ce1 0.0000 0.0000 0.0000
Ag1 0.6667 0.3333 0.6255
Bi1 0.3333 0.6667 0.4495

## Properties
Theoretical density in g/cm3: 9.06
E in eV per atom: -4.58